Entry 1:
DFT (GGA-PBE) results for PmPrCoHg after structural relaxation.

```
PmPrCoHg
1.0
0.000 3.683 3.683
3.683 0.000 3.683
3.683 3.683 0.000
Pm Pr Co Hg
1 1 1 1
direct
0.000 0.000 0.000 Pm
0.500 0.500 0.500 Pr
0.750 0.750 0.750 Co
0.250 0.250 0.250 Hg
```

- Total magnetization: 0.59 μB/cell
- Mass density: 9.1 g/cm³
- Fermi-level density of states: 0.87 states/eV per atom
- Space group: No. 216
- DFT formation energy: -126 meV per atom



Entry 2:
DFT (GGA-PBE) results for NdSmGa3 after structural relaxation.

```
NdSmGa3
1.0
2.169 -13.038 0.000
2.169 13.038 0.000
0.000 0.000 4.237
Nd Sm Ga
2 2 6
direct
0.073 0.927 0.750 Nd
0.927 0.073 0.250 Nd
0.203 0.797 0.250 Sm
0.797 0.203 0.750 Sm
0.326 0.674 0.250 Ga
0.381 0.619 0.750 Ga
0.476 0.524 0.750 Ga
0.524 0.476 0.250 Ga
0.619 0.381 0.250 Ga
0.674 0.326 0.750 Ga
```

- ΔE to the lowest computed polymorph: 0 meV/atom
- Total magnetization: 0.01 μB/cell
- Mass density: 7.0 g/cm³
- Fermi-level density of states: 0.70 states/eV per atom
- Space group: No. 63
- DFT formation energy: -658 meV per atom



Entry 3:
DFT (GGA-PBE) results for Nd3HPbSe after structural relaxation.

```
Nd3HPbSe
1.0
8.495 0.000 0.000
0.000 4.346 0.000
-1.337 0.000 8.856
Nd H Pb Se
6 2 2 2
direct
0.083 0.250 0.320 Nd
0.325 0.250 0.966 Nd
0.386 0.750 0.628 Nd
0.614 0.250 0.372 Nd
0.675 0.750 0.034 Nd
0.917 0.750 0.680 Nd
0.411 0.750 0.902 H
0.589 0.250 0.098 H
0.343 0.750 0.248 Pb
0.657 0.250 0.752 Pb
0.149 0.250 0.653 Se
0.851 0.750 0.347 Se
```

- Total magnetization: 0.00 μB/cell
- Mass density: 7.3 g/cm³
- Fermi-level density of states: 0.52 states/eV per atom
- Space group: No. 11
- VASP energy: -5.10 eV per atom



What is the Fermi-level density of states in the first record? 0.87 states/eV per atom